(1)
BaMgMn2F8 after structural relaxation, computed with PBE+U.

```
12
Lattice="6.064 0.000 0.000 -3.032 5.252 0.000 0.000 0.000 7.085" Properties=species:S:1:pos:R:3 pbc="T T T"
Ba 0.000 0.000 0.000
Mg 0.000 0.000 3.542
Mn 0.000 3.501 1.808
Mn 3.032 1.751 5.277
F 0.000 1.541 2.272
F -1.697 4.481 2.272
F 1.335 0.771 4.813
F 0.000 3.501 6.908
F 3.032 1.751 0.177
F 1.697 4.481 2.272
F 4.729 0.771 4.813
F 3.032 3.710 4.813
```

- raw total energy (eV/f.u.) = -70.13
- Fermi-level density of states (states/eV/f.u.) = 0.00
- SG = P-3m1
- magnetization (μB/cell) = 10.000

---

(2)
Ba2MgMoF after structural relaxation, computed with PBE+U.

```
5
Lattice="6.692 0.000 0.000 0.000 6.692 0.000 0.000 0.000 5.335" Properties=species:S:1:pos:R:3 pbc="T T T"
Ba 0.000 3.346 0.000
Ba 3.346 0.000 0.000
Mg 0.000 0.000 0.000
Mo 0.000 0.000 2.667
F 3.346 3.346 2.667
```

- raw total energy (eV/f.u.) = -13.82
- Fermi-level density of states (states/eV/f.u.) = 5.10
- SG = P4/mmm
- magnetization (μB/cell) = 4.301

---

> Which value of Fermi-level density of states does entry 2 give?

5.10 states/eV/f.u.

---

> Which value of Fermi-level density of states does entry 1 give?

0.00 states/eV/f.u.

---

What did the second record say?
Ba2MgMoF after structural relaxation, computed with PBE+U.

```
5
Lattice="6.692 0.000 0.000 0.000 6.692 0.000 0.000 0.000 5.335" Properties=species:S:1:pos:R:3 pbc="T T T"
Ba 0.000 3.346 0.000
Ba 3.346 0.000 0.000
Mg 0.000 0.000 0.000
Mo 0.000 0.000 2.667
F 3.346 3.346 2.667
```

- raw total energy (eV/f.u.) = -13.82
- Fermi-level density of states (states/eV/f.u.) = 5.10
- SG = P4/mmm
- magnetization (μB/cell) = 4.301

---

Copy entry 1 word for word.
BaMgMn2F8 after structural relaxation, computed with PBE+U.

```
12
Lattice="6.064 0.000 0.000 -3.032 5.252 0.000 0.000 0.000 7.085" Properties=species:S:1:pos:R:3 pbc="T T T"
Ba 0.000 0.000 0.000
Mg 0.000 0.000 3.542
Mn 0.000 3.501 1.808
Mn 3.032 1.751 5.277
F 0.000 1.541 2.272
F -1.697 4.481 2.272
F 1.335 0.771 4.813
F 0.000 3.501 6.908
F 3.032 1.751 0.177
F 1.697 4.481 2.272
F 4.729 0.771 4.813
F 3.032 3.710 4.813
```

- raw total energy (eV/f.u.) = -70.13
- Fermi-level density of states (states/eV/f.u.) = 0.00
- SG = P-3m1
- magnetization (μB/cell) = 10.000